The following is a DFT calculation (PBE-GGA) of crystalline Pu2Cu4SiGe3 at its relaxed geometry.

Computed properties:
density of states at the Fermi level = 2.25 states/eV/atom
formation energy without anion corrections = -3.1 eV/f.u.
volume = 17.005 Å³ per atom

a = 4.1352 Å, b = 4.1352 Å, c = 9.9446 Å
α = 90.00°, β = 90.00°, γ = 90.00°
With the nearest neighbours (Å) after each atom.
Atoms (fractional coordinates):
Cu  0.5000  0.5000  0.0000  4 Ge 2.47
Cu  0.0000  0.0000  0.0000  4 Ge 2.47
Cu  0.5000  0.0000  0.6252  3 Ge 2.37-2.41, 2 Si 2.41
Cu  0.0000  0.5000  0.3748  3 Ge 2.37-2.41, 2 Si 2.41
Ge  0.5000  0.0000  0.8637  5 Cu 2.37-2.47
Ge  0.0000  0.5000  0.1363  5 Cu 2.37-2.47
Ge  0.0000  0.0000  0.5000  4 Cu 2.41
Pu  0.0000  0.5000  0.7481  6 Ge 3.14-3.22, 8 Cu 3.17-3.25, 2 Si 3.22
Pu  0.5000  0.0000  0.2519  6 Ge 3.14-3.22, 8 Cu 3.17-3.25, 2 Si 3.22
Si  0.5000  0.5000  0.5000  4 Cu 2.41